## Li7Mn2Co3O12 (GGA+U)

Data for an optimized crystal structure of Li7Mn2Co3O12. Values from VASP.

Summary:
Calculated density = 4.1 g/cm³
D(E_F) = 0.02 states/eV per atom
E above lowest polymorph = 64 meV/atom
Calculated volume = 214.53 Å³/cell
E_tot = -5.833 eV/atom

Geometry as Quantum ESPRESSO input:
```
&SYSTEM
  ibrav = 0, nat = 24, ntyp = 4
/
ATOMIC_SPECIES
Li 6.94 Li.upf
Mn 54.94 Mn.upf
Co 58.93 Co.upf
O 16.00 O.upf
CELL_PARAMETERS angstrom
2.9665 0.0000 0.0000
0.3788 5.9404 0.0000
0.3706 2.8317 12.1740
ATOMIC_POSITIONS angstrom
Li 0.0000 0.0000 0.0000
Li 0.2705 2.9133 4.0584
Li 0.3652 2.9474 8.0054
Li 1.5972 1.4431 2.0677
Li 1.8664 4.3119 6.1334
Li 2.1932 7.3924 9.9243
Li 3.4121 5.7311 7.9965
Mn 1.8633 4.2855 10.0315
Mn 3.1135 2.9688 0.0035
Co 0.4463 5.8654 4.0711
Co 1.8035 4.4429 2.0406
Co 1.7120 1.4413 6.1377
O 0.3675 3.0026 10.0953
O 0.5034 5.8537 2.1402
O 0.3948 2.7599 6.0328
O 1.8089 4.3645 12.0529
O 1.7657 4.4717 3.9447
O 1.8798 4.3514 8.2125
O 2.0922 7.2936 7.8723
O 1.8324 4.4165 0.0786
O 1.7360 1.3292 4.2038
O 3.3617 5.6415 10.1635
O 3.0972 3.0120 1.9751
O 3.3744 5.9127 5.9616
```

=====

## La2TiVO6 (GGA+U)

Data for an optimized crystal structure of La2TiVO6. Values from VASP.

Summary:
Calculated density = 6.1 g/cm³
Calculated volume = 255.44 Å³/cell
E_tot = -8.579 eV/atom

Geometry as Quantum ESPRESSO input:
```
&SYSTEM
  ibrav = 0, nat = 20, ntyp = 4
/
ATOMIC_SPECIES
La 138.91 La.upf
Ti 47.87 Ti.upf
V 50.94 V.upf
O 16.00 O.upf
CELL_PARAMETERS angstrom
5.6018 0.0000 0.0000
0.0000 5.7235 0.0000
-5.5981 0.0000 7.9672
ATOMIC_POSITIONS angstrom
La -0.0520 0.2650 1.9984
La -2.8511 2.5967 5.9820
La 2.8548 3.1267 1.9852
La 0.0557 5.4585 5.9688
Ti -2.7990 0.0000 3.9836
Ti 0.0000 2.8617 0.0000
V 2.8009 0.0000 0.0000
V 0.0018 2.8617 3.9836
O -4.5032 1.2374 7.5833
O -1.7042 1.6244 3.5997
O -4.0048 3.9899 7.6150
O -1.2057 4.5953 3.6315
O -2.3070 0.1502 5.8991
O 0.4920 2.7115 1.9156
O -0.4883 3.0119 6.0516
O 2.3107 5.5733 2.0680
O 1.2094 1.1282 4.3357
O 4.0084 1.7335 0.3521
O 1.7079 4.0991 4.3674
O 4.5069 4.4861 0.3839
```

=====

Look up the E_tot of the second one. -8.579 eV/atom

=====

The highest E_tot belongs to which entry? Li7Mn2Co3O12

=====

Please write out number 1 again, unchanged.
## Li7Mn2Co3O12 (GGA+U)

Data for an optimized crystal structure of Li7Mn2Co3O12. Values from VASP.

Summary:
Calculated density = 4.1 g/cm³
D(E_F) = 0.02 states/eV per atom
E above lowest polymorph = 64 meV/atom
Calculated volume = 214.53 Å³/cell
E_tot = -5.833 eV/atom

Geometry as Quantum ESPRESSO input:
```
&SYSTEM
  ibrav = 0, nat = 24, ntyp = 4
/
ATOMIC_SPECIES
Li 6.94 Li.upf
Mn 54.94 Mn.upf
Co 58.93 Co.upf
O 16.00 O.upf
CELL_PARAMETERS angstrom
2.9665 0.0000 0.0000
0.3788 5.9404 0.0000
0.3706 2.8317 12.1740
ATOMIC_POSITIONS angstrom
Li 0.0000 0.0000 0.0000
Li 0.2705 2.9133 4.0584
Li 0.3652 2.9474 8.0054
Li 1.5972 1.4431 2.0677
Li 1.8664 4.3119 6.1334
Li 2.1932 7.3924 9.9243
Li 3.4121 5.7311 7.9965
Mn 1.8633 4.2855 10.0315
Mn 3.1135 2.9688 0.0035
Co 0.4463 5.8654 4.0711
Co 1.8035 4.4429 2.0406
Co 1.7120 1.4413 6.1377
O 0.3675 3.0026 10.0953
O 0.5034 5.8537 2.1402
O 0.3948 2.7599 6.0328
O 1.8089 4.3645 12.0529
O 1.7657 4.4717 3.9447
O 1.8798 4.3514 8.2125
O 2.0922 7.2936 7.8723
O 1.8324 4.4165 0.0786
O 1.7360 1.3292 4.2038
O 3.3617 5.6415 10.1635
O 3.0972 3.0120 1.9751
O 3.3744 5.9127 5.9616
```

=====

Among the records above, which one has the highest calculated volume? La2TiVO6